! Cu3PdO6 | Alexandria | PBE | relaxed; values from VASP
! Total moment ... 0.00 μB/f.u.
! VASP energy ... -5.0870 eV per atom
! Theoretical density ... 6.26 Mg/m³
! Symmetry ... R-3
&SYSTEM
  ibrav = 0, nat = 20, ntyp = 3
/
ATOMIC_SPECIES
Cu 63.55 Cu.upf
Pd 106.42 Pd.upf
O 16.00 O.upf
CELL_PARAMETERS angstrom
4.375 2.526 3.145
-4.375 2.526 3.145
0.000 -5.052 3.145
ATOMIC_POSITIONS crystal
Cu 0.086 0.544 0.766
Cu 0.234 0.914 0.456
Cu 0.456 0.234 0.914
Cu 0.544 0.766 0.086
Cu 0.766 0.086 0.544
Cu 0.914 0.456 0.234
Pd 0.000 0.000 0.000
Pd 0.500 0.500 0.500
O 0.045 0.847 0.690
O 0.153 0.310 0.955
O 0.194 0.598 0.374
O 0.310 0.955 0.153
O 0.374 0.194 0.598
O 0.402 0.626 0.806
O 0.598 0.374 0.194
O 0.626 0.806 0.402
O 0.690 0.045 0.847
O 0.806 0.402 0.626
O 0.847 0.690 0.045
O 0.955 0.153 0.310



! PmCu4Pd3O12 | Alexandria | PBE | relaxed; values from VASP
! Total moment ... 1.16 μB/f.u.
! VASP energy ... -5.5597 eV per atom
! Theoretical density ... 7.19 Mg/m³
! Symmetry ... Im-3
&SYSTEM
  ibrav = 0, nat = 20, ntyp = 4
/
ATOMIC_SPECIES
Pm 145.00 Pm.upf
Cu 63.55 Cu.upf
Pd 106.42 Pd.upf
O 16.00 O.upf
CELL_PARAMETERS angstrom
-3.747 3.747 3.747
3.747 -3.747 3.747
3.747 3.747 -3.747
ATOMIC_POSITIONS crystal
Pm 0.000 0.000 0.000
Cu 0.000 0.000 0.500
Cu 0.000 0.500 0.000
Cu 0.500 0.000 0.000
Cu 0.500 0.500 0.500
Pd 0.000 0.500 0.500
Pd 0.500 0.000 0.500
Pd 0.500 0.500 0.000
O 0.123 0.822 0.300
O 0.178 0.300 0.478
O 0.178 0.700 0.877
O 0.300 0.123 0.822
O 0.300 0.478 0.178
O 0.478 0.178 0.300
O 0.522 0.822 0.700
O 0.700 0.522 0.822
O 0.700 0.877 0.178
O 0.822 0.300 0.123
O 0.822 0.700 0.522
O 0.877 0.178 0.700



! PmCuPdO4 | Alexandria | PBE | relaxed; values from VASP
! Total moment ... 0.00 μB/f.u.
! VASP energy ... -6.2213 eV per atom
! Theoretical density ... 5.97 Mg/m³
! Symmetry ... Imma
&SYSTEM
  ibrav = 0, nat = 14, ntyp = 4
/
ATOMIC_SPECIES
Pm 145.00 Pm.upf
Cu 63.55 Cu.upf
Pd 106.42 Pd.upf
O 16.00 O.upf
CELL_PARAMETERS angstrom
-3.198 3.814 4.321
3.198 -3.814 4.321
3.198 3.814 -4.321
ATOMIC_POSITIONS crystal
Pm 0.000 0.000 0.000
Pm 0.500 0.000 0.500
Cu 0.290 0.540 0.750
Cu 0.710 0.460 0.250
Pd 0.000 0.000 0.500
Pd 0.000 0.500 0.000
O 0.159 0.734 0.425
O 0.190 0.266 0.925
O 0.247 0.217 0.470
O 0.247 0.777 0.030
O 0.753 0.223 0.970
O 0.753 0.783 0.530
O 0.810 0.734 0.075
O 0.841 0.266 0.575



! Pm2CuPdO6 | Alexandria | PBE | relaxed; values from VASP
! Total moment ... 1.04 μB/f.u.
! VASP energy ... -6.8165 eV per atom
! Theoretical density ... 7.53 Mg/m³
! Symmetry ... P2_1/c
&SYSTEM
  ibrav = 0, nat = 20, ntyp = 4
/
ATOMIC_SPECIES
Pm 145.00 Pm.upf
Cu 63.55 Cu.upf
Pd 106.42 Pd.upf
O 16.00 O.upf
CELL_PARAMETERS angstrom
5.459 0.000 0.000
0.000 5.879 0.000
-5.431 0.000 7.642
ATOMIC_POSITIONS crystal
Pm 0.229 0.076 0.250
Pm 0.229 0.424 0.750
Pm 0.771 0.576 0.250
Pm 0.771 0.924 0.750
Cu 0.500 0.000 0.000
Cu 0.500 0.500 0.500
Pd 0.000 0.000 0.500
Pd 0.000 0.500 0.000
O 0.138 0.199 0.948
O 0.138 0.301 0.448
O 0.255 0.694 0.948
O 0.255 0.806 0.448
O 0.363 0.036 0.755
O 0.363 0.464 0.255
O 0.637 0.536 0.745
O 0.637 0.964 0.245
O 0.745 0.194 0.552
O 0.745 0.306 0.052
O 0.862 0.699 0.552
O 0.862 0.801 0.052



! Pm2Cu2PdO6 | Alexandria | PBE | relaxed; values from VASP
! Total moment ... 0.00 μB/f.u.
! VASP energy ... -6.2787 eV per atom
! Theoretical density ... 6.92 Mg/m³
! Symmetry ... R-3m
&SYSTEM
  ibrav = 0, nat = 11, ntyp = 4
/
ATOMIC_SPECIES
Pm 145.00 Pm.upf
Cu 63.55 Cu.upf
Pd 106.42 Pd.upf
O 16.00 O.upf
CELL_PARAMETERS angstrom
2.911 1.681 5.060
-2.911 1.681 5.060
0.000 -3.362 5.060
ATOMIC_POSITIONS crystal
Pm 0.210 0.210 0.210
Pm 0.790 0.790 0.790
Cu 0.414 0.414 0.414
Cu 0.586 0.586 0.586
Pd 0.000 0.000 0.000
O 0.202 0.759 0.759
O 0.241 0.241 0.798
O 0.241 0.798 0.241
O 0.759 0.202 0.759
O 0.759 0.759 0.202
O 0.798 0.241 0.241



! Pr2CuPdO5 | Alexandria | PBE | relaxed; values from VASP
! Total moment ... 0.99 μB/f.u.
! VASP energy ... -6.5532 eV per atom
! Theoretical density ... 6.50 Mg/m³
! Symmetry ... P4/mbm
&SYSTEM
  ibrav = 0, nat = 18, ntyp = 4
/
ATOMIC_SPECIES
Pr 140.91 Pr.upf
Cu 63.55 Cu.upf
Pd 106.42 Pd.upf
O 16.00 O.upf
CELL_PARAMETERS angstrom
6.883 0.000 0.000
0.000 6.883 0.000
0.000 0.000 5.738
ATOMIC_POSITIONS crystal
Pr 0.175 0.325 0.000
Pr 0.325 0.825 0.000
Pr 0.675 0.175 0.000
Pr 0.825 0.675 0.000
Cu 0.000 0.000 0.500
Cu 0.500 0.500 0.500
Pd 0.000 0.500 0.500
Pd 0.500 0.000 0.500
O 0.000 0.000 0.000
O 0.137 0.637 0.249
O 0.137 0.637 0.751
O 0.363 0.137 0.249
O 0.363 0.137 0.751
O 0.500 0.500 0.000
O 0.637 0.863 0.249
O 0.637 0.863 0.751
O 0.863 0.363 0.249
O 0.863 0.363 0.751



! Pr2Cu2PdO6 | Alexandria | PBE | relaxed; values from VASP
! Total moment ... 0.00 μB/f.u.
! VASP energy ... -6.2872 eV per atom
! Theoretical density ... 6.76 Mg/m³
! Symmetry ... R-3m
&SYSTEM
  ibrav = 0, nat = 11, ntyp = 4
/
ATOMIC_SPECIES
Pr 140.91 Pr.upf
Cu 63.55 Cu.upf
Pd 106.42 Pd.upf
O 16.00 O.upf
CELL_PARAMETERS angstrom
2.918 1.685 5.094
-2.918 1.685 5.094
0.000 -3.369 5.094
ATOMIC_POSITIONS crystal
Pr 0.214 0.214 0.214
Pr 0.786 0.786 0.786
Cu 0.415 0.415 0.415
Cu 0.585 0.585 0.585
Pd 0.000 0.000 0.000
O 0.203 0.760 0.760
O 0.240 0.240 0.797
O 0.240 0.797 0.240
O 0.760 0.203 0.760
O 0.760 0.760 0.203
O 0.797 0.240 0.240



! PrCu3Pd4O12 | Alexandria | PBE | relaxed; values from VASP
! Total moment ... 0.00 μB/f.u.
! VASP energy ... -5.6685 eV per atom
! Theoretical density ... 7.09 Mg/m³
! Symmetry ... Im-3
&SYSTEM
  ibrav = 0, nat = 20, ntyp = 4
/
ATOMIC_SPECIES
Pr 140.91 Pr.upf
Cu 63.55 Cu.upf
Pd 106.42 Pd.upf
O 16.00 O.upf
CELL_PARAMETERS angstrom
-3.817 3.817 3.817
3.817 -3.817 3.817
3.817 3.817 -3.817
ATOMIC_POSITIONS crystal
Pr 0.000 0.000 0.000
Cu 0.000 0.500 0.500
Cu 0.500 0.000 0.500
Cu 0.500 0.500 0.000
Pd 0.000 0.000 0.500
Pd 0.000 0.500 0.000
Pd 0.500 0.000 0.000
Pd 0.500 0.500 0.500
O 0.146 0.837 0.309
O 0.163 0.309 0.472
O 0.163 0.691 0.854
O 0.309 0.146 0.837
O 0.309 0.472 0.163
O 0.472 0.163 0.309
O 0.528 0.837 0.691
O 0.691 0.528 0.837
O 0.691 0.854 0.163
O 0.837 0.309 0.146
O 0.837 0.691 0.528
O 0.854 0.163 0.691